The following is a PBEsol calculation of AsPb5 after structural relaxation, from Alexandria via LeMat-Bulk.

abc: 3.619 3.619 12.783
angles: 90.00 90.00 90.00
Space group P4/mmm (No. 123)
Inequivalent atoms, fractional coordinates:
As: 0.000 0.000 0.000 (multiplicity 1)
Pb: 0.000 0.000 0.323 (multiplicity 2)
Pb: 0.500 0.500 0.135 (multiplicity 2)
Pb: 0.500 0.500 0.500 (multiplicity 1)

Summary:
DFT formation energy (eV per formula unit): 0.3
ΔE to the lowest computed polymorph (eV per atom): 0.000
E_tot (eV/atom): -4.13

The following is a PBEsol calculation of LiAg4Pb after structural relaxation, from Alexandria via LeMat-Bulk.

abc: 7.755 7.755 7.755
angles: 90.00 90.00 90.00
Space group F-43m (No. 216)
Inequivalent atoms, fractional coordinates:
Li: 0.000 0.000 0.000 (multiplicity 4)
Ag: 0.125 0.125 0.625 (multiplicity 16)
Pb: 0.250 0.250 0.250 (multiplicity 4)

Summary:
DFT formation energy (eV per formula unit): -0.1
E_tot (eV/atom): -3.23

The following is a PBEsol calculation of CuTe2 after structural relaxation, from Alexandria via LeMat-Bulk.

abc: 3.9455 3.9455 5.0508
angles: 90.00 90.00 120.00
Space group P-3m1 (No. 164)
Inequivalent atoms, fractional coordinates:
Cu: 0.0000 0.0000 0.0000 (multiplicity 1)
Te: 0.3333 0.6667 0.2738 (multiplicity 2)

Summary:
E_tot (eV/atom): -3.83
Energy relative to the elements, uncorrected (kJ per mole of atoms): -3.2

The following is a PBEsol calculation of KAgTe2 after structural relaxation, from Alexandria via LeMat-Bulk.

abc: 3.659 3.659 9.499
angles: 90.00 90.00 90.00
Space group P4mm (No. 99)
Inequivalent atoms, fractional coordinates:
K: 0.000 0.000 0.000 (multiplicity 1)
Ag: 0.500 0.500 0.523 (multiplicity 1)
Te: 0.000 0.000 0.645 (multiplicity 1)
Te: 0.500 0.500 0.235 (multiplicity 1)

Summary:
E_tot (eV/atom): -3.07
Energy relative to the elements, uncorrected (kJ per mole of atoms): -19.4

The following is a PBEsol calculation of Ce2PrO6 after structural relaxation, from Alexandria via LeMat-Bulk.

abc: 3.871 5.484 11.568
angles: 90.00 90.00 90.00
Space group Immm (No. 71)
Inequivalent atoms, fractional coordinates:
Ce: 0.000 0.000 0.167 (multiplicity 4)
Pr: 0.000 0.000 0.500 (multiplicity 2)
O: 0.000 0.236 0.000 (multiplicity 4)
O: 0.000 0.257 0.328 (multiplicity 8)

Summary:
E_tot (eV/atom): -8.71
Energy relative to the elements, uncorrected (kJ per mole of atoms): -305.6

The following is a PBEsol calculation of Cs2AuF after structural relaxation, from Alexandria via LeMat-Bulk.

abc: 7.921 7.921 7.921
angles: 90.00 90.00 90.00
Space group Fm-3m (No. 225)
Inequivalent atoms, fractional coordinates:
Cs: 0.250 0.250 0.250 (multiplicity 8)
Au: 0.000 0.000 0.000 (multiplicity 4)
F: 0.000 0.000 0.500 (multiplicity 4)

Summary:
ΔE to the lowest computed polymorph (eV per atom): 0.100
E_tot (eV/atom): -3.17
Energy relative to the elements, uncorrected (kJ per mole of atoms): -119.4

The following is a PBEsol calculation of PWO4F after structural relaxation, from Alexandria via LeMat-Bulk.

abc: 7.456 7.432 7.503
angles: 90.00 117.92 90.00
Space group C2/c (No. 15)
Inequivalent atoms, fractional coordinates:
P: 0.000 0.120 0.250 (multiplicity 4)
W: 0.250 0.250 0.000 (multiplicity 4)
O: 0.093 0.243 0.150 (multiplicity 8)
O: 0.168 0.004 0.413 (multiplicity 8)
F: 0.000 0.338 0.750 (multiplicity 4)

Summary:
E_tot (eV/atom): -8.09
Energy relative to the elements, uncorrected (kJ per mole of atoms): -194.1

The following is a PBEsol calculation of HfMgBe3 after structural relaxation, from Alexandria via LeMat-Bulk.

abc: 4.148 4.148 4.148
angles: 90.00 90.00 90.00
Space group Pm-3m (No. 221)
Inequivalent atoms, fractional coordinates:
Hf: 0.000 0.000 0.000 (multiplicity 1)
Mg: 0.500 0.500 0.500 (multiplicity 1)
Be: 0.000 0.500 0.500 (multiplicity 3)

Summary:
DFT formation energy (eV per formula unit): 5.0
E_tot (eV/atom): -3.83

The following is a PBEsol calculation of SiAsSeBr2 after structural relaxation, from Alexandria via LeMat-Bulk.

abc: 4.849 4.849 5.062
angles: 90.00 90.00 90.00
Space group P4/mmm (No. 123)
Inequivalent atoms, fractional coordinates:
Si: 0.000 0.000 0.000 (multiplicity 1)
As: 0.500 0.500 0.500 (multiplicity 1)
Se: 0.000 0.000 0.500 (multiplicity 1)
Br: 0.000 0.500 0.000 (multiplicity 2)

Summary:
E_tot (eV/atom): -3.31
Energy relative to the elements, uncorrected (kJ per mole of atoms): 36.5

The following is a PBEsol calculation of KFe2Se after structural relaxation, from Alexandria via LeMat-Bulk.

abc: 2.889 5.774 9.890
angles: 90.00 90.00 90.00
Space group Imm2 (No. 44)
Inequivalent atoms, fractional coordinates:
K: 0.000 0.000 0.000 (multiplicity 2)
Fe: 0.000 0.000 0.486 (multiplicity 2)
Fe: 0.000 0.500 0.166 (multiplicity 2)
Se: 0.000 0.500 0.801 (multiplicity 2)

Summary:
E_tot (eV/atom): -5.22
Energy relative to the elements, uncorrected (kJ per mole of atoms): 48.9

The following is a PBEsol calculation of BeNbP2Cl after structural relaxation, from Alexandria via LeMat-Bulk.

abc: 4.160 4.160 4.515
angles: 90.00 90.00 90.00
Space group P4/mmm (No. 123)
Inequivalent atoms, fractional coordinates:
Be: 0.000 0.000 0.000 (multiplicity 1)
Nb: 0.500 0.500 0.500 (multiplicity 1)
P: 0.000 0.500 0.000 (multiplicity 2)
Cl: 0.000 0.000 0.500 (multiplicity 1)

Summary:
E_tot (eV/atom): -5.20
Energy relative to the elements, uncorrected (kJ per mole of atoms): 46.1

The following is a PBEsol calculation of TmAu after structural relaxation, from Alexandria via LeMat-Bulk.

abc: 3.494 3.494 3.494
angles: 90.00 90.00 90.00
Space group Pm-3m (No. 221)
Inequivalent atoms, fractional coordinates:
Tm: 0.000 0.000 0.000 (multiplicity 1)
Au: 0.500 0.500 0.500 (multiplicity 1)

Summary:
DFT formation energy (eV per formula unit): -1.8
E_tot (eV/atom): -5.32

Record order is preserved below.
Size of the total moment: 0.000 0.000 0.000 0.000 2.036 0.001 8.000 0.000 1.036 10.119 1.771 0.000 Bohr magnetons per cell